[1]
## Sm4IrPd (PBE-GGA)

Data for an optimized crystal structure of Sm4IrPd.

Summary:
symmetry	No. 124
spin magnetization	0.00	μB/f.u.
E_form	-0.536	eV per atom
DOS at the Fermi energy	7.96	states/eV/f.u.

a b c (Å): 6.479 7.037 7.037
angles (deg): 90.00 90.00 90.00
Positions (direct):
Sm: 0.000 0.187 0.676
Sm: 0.000 0.813 0.324
Sm: 0.000 0.324 0.187
Sm: 0.000 0.676 0.813
Sm: 0.500 0.813 0.676
Sm: 0.500 0.187 0.324
Sm: 0.500 0.676 0.187
Sm: 0.500 0.324 0.813
Ir: 0.250 0.500 0.500
Ir: 0.750 0.500 0.500
Pd: 0.250 0.000 0.000
Pd: 0.750 0.000 0.000

[2]
## Sm5Ir2Pd2 (PBE-GGA)

Data for an optimized crystal structure of Sm5Ir2Pd2.

Summary:
symmetry	No. 46
spin magnetization	0.00	μB/f.u.
E_form	-0.649	eV per atom
DOS at the Fermi energy	4.81	states/eV/f.u.

a b c (Å): 7.054 7.449 10.069
angles (deg): 111.71 110.50 90.00
Positions (direct):
Sm: 0.254 0.644 0.858
Sm: 0.746 0.785 0.142
Sm: 0.105 0.144 0.858
Sm: 0.895 0.285 0.142
Sm: 0.321 0.022 0.304
Sm: 0.679 0.718 0.696
Sm: 0.483 0.522 0.304
Sm: 0.517 0.218 0.696
Sm: 0.113 0.746 0.500
Sm: 0.887 0.246 0.500
Ir: 0.000 0.911 0.000
Ir: 0.500 0.411 0.000
Ir: 0.267 0.405 0.500
Ir: 0.733 0.905 0.500
Pd: 0.122 0.627 0.151
Pd: 0.878 0.476 0.849
Pd: 0.530 0.127 0.151
Pd: 0.470 0.976 0.849

[3]
## Sm3IrPd2 (PBE-GGA)

Data for an optimized crystal structure of Sm3IrPd2.

Summary:
symmetry	No. 65
spin magnetization	0.00	μB/f.u.
E_form	-0.777	eV per atom
DOS at the Fermi energy	3.15	states/eV/f.u.

a b c (Å): 5.031 7.972 7.082
angles (deg): 90.00 90.01 71.61
Positions (direct):
Sm: 0.831 0.339 0.758
Sm: 0.499 0.000 0.244
Sm: 0.169 0.661 0.242
Sm: 0.830 0.339 0.242
Sm: 0.170 0.661 0.758
Sm: 0.501 0.000 0.756
Ir: 0.336 0.327 0.000
Ir: 0.664 0.673 0.000
Pd: 0.000 0.000 0.000
Pd: 0.000 0.000 0.500
Pd: 0.333 0.333 0.500
Pd: 0.667 0.667 0.500

[4]
## Sm2IrPd (PBE-GGA)

Data for an optimized crystal structure of Sm2IrPd.

Summary:
symmetry	No. 11
spin magnetization	0.00	μB/f.u.
E_form	-0.797	eV per atom
DOS at the Fermi energy	2.57	states/eV/f.u.

a b c (Å): 4.414 5.778 7.747
angles (deg): 110.14 90.00 90.00
Positions (direct):
Sm: 0.750 0.229 0.424
Sm: 0.250 0.771 0.576
Sm: 0.250 0.783 0.063
Sm: 0.750 0.217 0.937
Ir: 0.250 0.332 0.210
Ir: 0.750 0.668 0.790
Pd: 0.750 0.677 0.294
Pd: 0.250 0.323 0.706

[5]
## Sm8IrPd5 (PBE-GGA)

Data for an optimized crystal structure of Sm8IrPd5.

Summary:
symmetry	No. 82
spin magnetization	0.00	μB/f.u.
E_form	-0.688	eV per atom
DOS at the Fermi energy	10.92	states/eV/f.u.

a b c (Å): 7.734 7.734 7.734
angles (deg): 109.61 109.20 109.61
Positions (direct):
Sm: 0.123 0.743 0.987
Sm: 0.013 0.136 0.755
Sm: 0.756 0.256 0.386
Sm: 0.614 0.370 0.870
Sm: 0.500 0.630 0.244
Sm: 0.620 0.864 0.877
Sm: 0.245 0.257 0.380
Sm: 0.130 0.744 0.500
Ir: 0.250 0.500 0.750
Pd: 0.992 0.373 0.120
Pd: 0.880 0.872 0.254
Pd: 0.746 0.627 0.619
Pd: 0.500 0.000 0.500
Pd: 0.381 0.128 0.008

[6]
## Sm2IrPd (PBE-GGA)

Data for an optimized crystal structure of Sm2IrPd.

Summary:
symmetry	No. 123
spin magnetization	0.00	μB/f.u.
E_form	-0.757	eV per atom
DOS at the Fermi energy	1.69	states/eV/f.u.

a b c (Å): 3.548 3.548 7.091
angles (deg): 90.00 90.00 90.00
Positions (direct):
Ir: 0.500 0.500 0.000
Pd: 0.500 0.500 0.500
Sm: 0.000 0.000 0.762
Sm: 0.000 0.000 0.238

[7]
## SrSmIrPd (PBE-GGA)

Data for an optimized crystal structure of SrSmIrPd.

Summary:
symmetry	No. 216
spin magnetization	0.00	μB/f.u.
E_form	-0.488	eV per atom
DOS at the Fermi energy	1.28	states/eV/f.u.

a b c (Å): 5.069 5.069 5.069
angles (deg): 60.00 60.00 60.00
Positions (direct):
Sr: 0.250 0.250 0.250
Ir: 0.500 0.500 0.500
Pd: 0.000 0.000 0.000
Sm: 0.750 0.750 0.750

[8]
## TbSmIrPd (PBE-GGA)

Data for an optimized crystal structure of TbSmIrPd.

Summary:
symmetry	No. 216
spin magnetization	0.00	μB/f.u.
E_form	-0.815	eV per atom
DOS at the Fermi energy	2.61	states/eV/f.u.

a b c (Å): 4.961 4.961 4.961
angles (deg): 60.00 60.00 60.00
Positions (direct):
Ir: 0.500 0.500 0.500
Tb: 0.750 0.750 0.750
Pd: 0.000 0.000 0.000
Sm: 0.250 0.250 0.250

[9]
## SmThIrPd (PBE-GGA)

Data for an optimized crystal structure of SmThIrPd.

Summary:
symmetry	No. 38
spin magnetization	0.00	μB/f.u.
E_form	-0.901	eV per atom
DOS at the Fermi energy	2.69	states/eV/f.u.

a b c (Å): 3.913 4.234 6.053
angles (deg): 90.00 108.86 90.00
Positions (direct):
Sm: 0.143 0.000 0.285
Th: 0.867 0.500 0.734
Ir: 0.402 0.000 0.804
Pd: 0.588 0.500 0.177

[10]
## SmThIrPd (PBE-GGA)

Data for an optimized crystal structure of SmThIrPd.

Summary:
symmetry	No. 216
spin magnetization	0.00	μB/f.u.
E_form	-0.735	eV per atom
DOS at the Fermi energy	4.70	states/eV/f.u.

a b c (Å): 5.055 5.055 5.055
angles (deg): 60.00 60.00 60.00
Positions (direct):
Pd: 0.500 0.500 0.500
Ir: 0.000 0.000 0.000
Sm: 0.750 0.750 0.750
Th: 0.250 0.250 0.250

[11]
## SmYIrPd (PBE-GGA)

Data for an optimized crystal structure of SmYIrPd.

Summary:
symmetry	No. 216
spin magnetization	0.00	μB/f.u.
E_form	-0.815	eV per atom
DOS at the Fermi energy	2.38	states/eV/f.u.

a b c (Å): 4.958 4.958 4.958
angles (deg): 60.00 60.00 60.00
Positions (direct):
Y: 0.750 0.750 0.750
Ir: 0.500 0.500 0.500
Pd: 0.000 0.000 0.000
Sm: 0.250 0.250 0.250

[12]
## Sn3IrPd (PBE-GGA)

Data for an optimized crystal structure of Sn3IrPd.

Summary:
symmetry	No. 6
spin magnetization	0.00	μB/f.u.
E_form	-0.140	eV per atom
DOS at the Fermi energy	2.20	states/eV/f.u.

a b c (Å): 3.709 8.078 8.097
angles (deg): 68.17 90.00 90.00
Positions (direct):
Sn: 0.864 0.387 0.832
Sn: 0.864 0.001 0.661
Sn: 0.863 0.607 0.055
Sn: 0.363 0.047 0.098
Sn: 0.863 0.781 0.438
Sn: 0.363 0.342 0.395
Ir: 0.363 0.694 0.246
Ir: 0.364 0.194 0.747
Pd: 0.363 0.694 0.747
Pd: 0.863 0.194 0.247

- What is the formula in the fourth record?
  Sm2IrPd